A plane-wave DFT calculation with PBE-GGA was carried out for a relaxed TaTl2W crystal.

E_form	0.846	eV per atom
symmetry	No. 71

a = 5.8420 Å, b = 5.8420 Å, c = 5.8420 Å
α = 148.84°, β = 127.31°, γ = 62.49°
Closest atoms and distances in Å follow each position.
Fractional positions:
1 Tl 0.0040 0.0040 0.0000  2 W 2.92, 2 Ta 2.98, 6 Tl 3.03-3.14
2 Ta 0.7500 0.2500 0.5000  4 Tl 2.98, 4 W 3.03, 2 Ta 3.14
3 W 0.2500 0.7500 0.5000  4 Tl 2.92, 4 Ta 3.03, 2 W 3.14
4 Tl 0.4960 0.4960 0.0000  2 W 2.92, 2 Ta 2.98, 6 Tl 3.03-3.14

A plane-wave DFT calculation with PBE-GGA was carried out for a relaxed Na8Cd3Ag2 crystal.

E_form	-0.030	eV per atom
symmetry	No. 10

a = 4.9935 Å, b = 7.4428 Å, c = 9.8031 Å
α = 77.21°, β = 90.00°, γ = 90.00°
Closest atoms and distances in Å follow each position.
Fractional positions:
1 Na 0.0000 0.3651 0.3909  2 Ag 3.06, 3 Na 3.24-3.36, 1 Cd 3.37
2 Na 0.0000 0.8456 0.2337  2 Ag 3.20, 4 Cd 3.24-3.41, 5 Na 3.34-3.57
3 Na 0.5000 0.5578 0.1481  1 Ag 3.03, 1 Na 3.21, 3 Cd 3.29-3.34
4 Cd 0.0000 0.7255 0.9306  9 Na 3.24-3.54, 3 Cd 3.33-3.39
5 Ag 0.5000 0.6793 0.4238  1 Ag 2.76, 4 Na 3.03-3.06
6 Na 0.0000 0.1544 0.7663  2 Ag 3.20, 4 Cd 3.24-3.41, 5 Na 3.34-3.57
7 Cd 0.0000 0.2745 0.0694  9 Na 3.24-3.54, 3 Cd 3.33-3.39
8 Ag 0.5000 0.3207 0.5762  1 Ag 2.76, 4 Na 3.03-3.06
9 Na 0.5000 0.0981 0.3197  2 Ag 3.06-3.30, 4 Na 3.34-3.36, 1 Cd 3.37
10 Cd 0.5000 0.0000 0.0000  8 Na 3.29-3.41, 4 Cd 3.39
11 Na 0.5000 0.4422 0.8519  1 Ag 3.03, 1 Na 3.21, 3 Cd 3.29-3.34
12 Na 0.0000 0.6349 0.6091  2 Ag 3.06, 3 Na 3.24-3.36, 1 Cd 3.37
13 Na 0.5000 0.9019 0.6803  2 Ag 3.06-3.30, 4 Na 3.34-3.36, 1 Cd 3.37

A plane-wave DFT calculation with PBE-GGA was carried out for a relaxed TbZrNp2P4 crystal.

E_form	-1.176	eV per atom
symmetry	No. 10

a = 3.9045 Å, b = 6.7892 Å, c = 6.7655 Å
α = 109.34°, β = 90.00°, γ = 90.00°
Closest atoms and distances in Å follow each position.
Fractional positions:
1 P 0.0000 0.7592 0.2498  1 Zr 2.71, 3 Np 2.74-2.82, 2 Tb 2.79
2 P 0.5000 0.7591 0.7555  2 Zr 2.73, 3 Np 2.75-2.81, 1 Tb 2.79
3 P 0.0000 0.2408 0.7502  1 Zr 2.71, 3 Np 2.74-2.82, 2 Tb 2.79
4 Tb 0.5000 0.5000 0.0000  6 P 2.79
5 Np 0.5000 0.0000 0.5000  6 P 2.74-2.75
6 P 0.5000 0.2409 0.2445  2 Zr 2.73, 3 Np 2.75-2.81, 1 Tb 2.79
7 Zr 0.0000 0.0000 0.0000  6 P 2.71-2.73
8 Np 0.0000 0.5000 0.5000  6 P 2.81-2.82

A plane-wave DFT calculation with PBE-GGA was carried out for a relaxed MgAlS2 crystal.

symmetry	No. 122
raw formation energy	-0.780	eV per atom

a = 5.5807 Å, b = 5.5807 Å, c = 7.0491 Å
α = 66.68°, β = 66.68°, γ = 90.00°
Closest atoms and distances in Å follow each position.
Fractional positions:
1 S 0.6412 0.1250 0.2500  2 Al 2.40, 2 Mg 2.51
2 S 0.3750 0.3588 0.7500  2 Al 2.40, 2 Mg 2.51
3 S 0.8750 0.8912 0.7500  2 Al 2.40, 2 Mg 2.51
4 Mg 0.5000 0.5000 0.0000  4 S 2.51
5 Al 0.7500 0.2500 0.5000  4 S 2.40
6 S 0.1088 0.6250 0.2500  2 Al 2.40, 2 Mg 2.51
7 Al 0.0000 0.0000 0.0000  4 S 2.40
8 Mg 0.2500 0.7500 0.5000  4 S 2.51

A plane-wave DFT calculation with PBE-GGA was carried out for a relaxed CuSb2Pd4 crystal.

symmetry	No. 123
raw formation energy	-0.331	eV per atom

a = 4.3653 Å, b = 4.3653 Å, c = 6.5447 Å
α = 90.00°, β = 90.00°, γ = 90.00°
Closest atoms and distances in Å follow each position.
Fractional positions:
1 Pd 0.5000 0.0000 0.7484  4 Sb 2.72-2.73, 2 Cu 2.73
2 Sb 0.0000 0.0000 0.0000  8 Pd 2.73
3 Sb 0.5000 0.5000 0.5000  8 Pd 2.72
4 Pd 0.0000 0.5000 0.7484  4 Sb 2.72-2.73, 2 Cu 2.73
5 Pd 0.5000 0.0000 0.2516  4 Sb 2.72-2.73, 2 Cu 2.73
6 Pd 0.0000 0.5000 0.2516  4 Sb 2.72-2.73, 2 Cu 2.73
7 Cu 0.5000 0.5000 0.0000  8 Pd 2.73

A plane-wave DFT calculation with PBE-GGA was carried out for a relaxed Tb12Pr6Y crystal.

E_form	0.212	eV per atom
symmetry	No. 166

a = 8.8190 Å, b = 8.8190 Å, c = 8.8190 Å
α = 98.75°, β = 98.75°, γ = 98.75°
Closest atoms and distances in Å follow each position.
Fractional positions:
1 Pr 0.9040 0.9040 0.3428  1 Pr 3.11, 1 Y 3.45
2 Pr 0.3428 0.9040 0.9040  1 Pr 3.11, 1 Y 3.45
3 Pr 0.0960 0.0960 0.6572  1 Pr 3.11, 1 Y 3.45
4 Tb 0.6440 0.9178 0.6440  6 Tb 3.39-3.66, 2 Pr 3.76
5 Tb 0.3560 0.0822 0.3560  6 Tb 3.39-3.66, 2 Pr 3.76
6 Tb 0.2430 0.5000 0.7570  6 Tb 3.39-3.56, 4 Pr 3.53-3.61
7 Pr 0.6572 0.0960 0.0960  1 Pr 3.11, 1 Y 3.45
8 Tb 0.3560 0.3560 0.0822  6 Tb 3.39-3.66, 2 Pr 3.76
9 Tb 0.7570 0.5000 0.2430  6 Tb 3.39-3.56, 4 Pr 3.53-3.61
10 Tb 0.2430 0.7570 0.5000  6 Tb 3.39-3.56, 4 Pr 3.53-3.61
11 Tb 0.7570 0.2430 0.5000  6 Tb 3.39-3.56, 4 Pr 3.53-3.61
12 Tb 0.5000 0.2430 0.7570  6 Tb 3.39-3.56, 4 Pr 3.53-3.61
13 Tb 0.9178 0.6440 0.6440  6 Tb 3.39-3.66, 2 Pr 3.76
14 Pr 0.9040 0.3428 0.9040  1 Pr 3.11, 1 Y 3.45
15 Pr 0.0960 0.6572 0.0960  1 Pr 3.11, 1 Y 3.45
16 Tb 0.0822 0.3560 0.3560  6 Tb 3.39-3.66, 2 Pr 3.76
17 Tb 0.6440 0.6440 0.9178  6 Tb 3.39-3.66, 2 Pr 3.76
18 Y 0.0000 0.0000 0.0000  6 Pr 3.45
19 Tb 0.5000 0.7570 0.2430  6 Tb 3.39-3.56, 4 Pr 3.53-3.61

A plane-wave DFT calculation with PBE-GGA was carried out for a relaxed Ni8Sn3H2 crystal.

uncorrected energy	-5.09	eV/atom
symmetry	No. 166

a = 5.0775 Å, b = 5.0775 Å, c = 7.7254 Å
α = 70.81°, β = 70.81°, γ = 60.00°
Closest atoms and distances in Å follow each position.
Fractional positions:
1 Sn 0.0000 0.0000 0.0000  6 Ni 2.57
2 Ni 0.7630 0.2661 0.7047  1 H 1.65
3 Ni 0.2661 0.7630 0.7047  1 H 1.65
4 Ni 0.2661 0.2661 0.7047  1 H 1.65
5 Ni 0.6813 0.6813 0.9562  1 H 1.65
6 Ni 0.2370 0.7339 0.2953  1 H 1.65
7 Sn 0.2004 0.2004 0.3988  10 Ni 2.54-2.64
8 H 0.6044 0.6044 0.1869  4 Ni 1.65
9 H 0.3956 0.3956 0.8131  4 Ni 1.65
10 Ni 0.7339 0.2370 0.2953  1 H 1.65
11 Ni 0.3187 0.3187 0.0438  1 H 1.65
12 Ni 0.7339 0.7339 0.2953  1 H 1.65
13 Sn 0.7996 0.7996 0.6012  10 Ni 2.54-2.64

A plane-wave DFT calculation with PBE-GGA was carried out for a relaxed LiGaBiPt crystal.

E_form	-0.301	eV per atom
symmetry	No. 216

a = 4.7353 Å, b = 4.7353 Å, c = 4.7353 Å
α = 60.00°, β = 60.00°, γ = 60.00°
Closest atoms and distances in Å follow each position.
Fractional positions:
1 Pt 0.2500 0.2500 0.2500  4 Bi 2.90, 4 Ga 2.90
2 Ga 0.5000 0.5000 0.5000  4 Li 2.90, 4 Pt 2.90
3 Li 0.7500 0.7500 0.7500  4 Bi 2.90, 4 Ga 2.90
4 Bi 0.0000 0.0000 0.0000  4 Li 2.90, 4 Pt 2.90

A plane-wave DFT calculation with PBE-GGA was carried out for a relaxed ZrTl2Tc crystal.

E_form	0.463	eV per atom
symmetry	No. 65

a = 5.4115 Å, b = 5.4115 Å, c = 3.1156 Å
α = 90.00°, β = 90.00°, γ = 112.37°
Closest atoms and distances in Å follow each position.
Fractional positions:
1 Tl 0.5000 0.5000 0.0000  4 Tl 3.01-3.12, 4 Zr 3.12, 4 Tc 3.12
2 Tl 0.0000 0.0000 0.0000  4 Tl 3.01-3.12, 4 Tc 3.12, 4 Zr 3.12
3 Zr 0.5000 0.0000 0.5000  2 Tc 3.01, 2 Zr 3.12, 8 Tl 3.12
4 Tc 0.0000 0.5000 0.5000  2 Zr 3.01, 2 Tc 3.12, 8 Tl 3.12

A plane-wave DFT calculation with PBE-GGA was carried out for a relaxed LiAc2Zn4Ge3 crystal.

E_form	-0.435	eV per atom
symmetry	No. 115

a = 4.4051 Å, b = 4.4051 Å, c = 10.8324 Å
α = 90.00°, β = 90.00°, γ = 90.00°
Closest atoms and distances in Å follow each position.
Fractional positions:
1 Zn 0.5000 0.5000 0.0000  4 Ge 2.64
2 Zn 0.0000 0.0000 0.0000  4 Ge 2.64
3 Li 0.5000 0.5000 0.5000  4 Zn 2.60
4 Ge 0.5000 0.0000 0.8649  5 Zn 2.58-2.64
5 Zn 0.0000 0.5000 0.3730  3 Ge 2.58-2.60, 2 Li 2.60
6 Zn 0.5000 0.0000 0.6270  3 Ge 2.58-2.60, 2 Li 2.60
7 Ge 0.0000 0.5000 0.1351  5 Zn 2.58-2.64
8 Ac 0.0000 0.5000 0.7552  6 Ge 3.33-3.53, 8 Zn 3.41-3.45, 2 Li 3.53
9 Ge 0.0000 0.0000 0.5000  4 Zn 2.60
10 Ac 0.5000 0.0000 0.2448  6 Ge 3.33-3.53, 8 Zn 3.41-3.45, 2 Li 3.53

A plane-wave DFT calculation with PBE-GGA was carried out for a relaxed NdHo2P crystal.

E_form	-0.539	eV per atom
symmetry	No. 166

a = 3.7319 Å, b = 3.7319 Å, c = 10.4743 Å
α = 79.74°, β = 79.74°, γ = 60.00°
Closest atoms and distances in Å follow each position.
Fractional positions:
1 P 0.5000 0.5000 0.5000  6 Ho 2.69
2 Ho 0.1142 0.1142 0.6575  3 P 2.69
3 Nd 0.0000 0.0000 0.0000  2 Ho 3.51, 6 Nd 3.73
4 Ho 0.8858 0.8858 0.3425  3 P 2.69

A plane-wave DFT calculation with PBE-GGA was carried out for a relaxed Dy8MgCo2 crystal.

E_form	-0.030	eV per atom
symmetry	No. 12

a = 5.3747 Å, b = 7.8793 Å, c = 7.8793 Å
α = 114.21°, β = 96.62°, γ = 96.62°
Closest atoms and distances in Å follow each position.
Fractional positions:
1 Co 0.0000 0.3063 0.6937  8 Dy 2.77-3.06
2 Dy 0.5000 0.2546 0.7454  2 Co 2.77
3 Dy 0.9293 0.9313 0.6679  2 Co 2.79-2.85
4 Dy 0.0707 0.0687 0.3321  2 Co 2.79-2.85
5 Dy 0.2964 0.6081 0.6081  2 Co 3.06, 4 Dy 3.15-3.33, 1 Mg 3.30
6 Dy 0.5000 0.7454 0.2546  2 Co 2.77
7 Co 0.0000 0.6937 0.3063  8 Dy 2.77-3.06
8 Dy 0.0707 0.3321 0.0687  2 Co 2.79-2.85
9 Dy 0.9293 0.6679 0.9313  2 Co 2.79-2.85
10 Mg 0.5000 0.0000 0.0000  12 Dy 3.30-3.63
11 Dy 0.7036 0.3919 0.3919  2 Co 3.06, 4 Dy 3.15-3.33, 1 Mg 3.30

A plane-wave DFT calculation with PBE-GGA was carried out for a relaxed K2RbVCl6 crystal.

symmetry	No. 59
raw formation energy	-1.656	eV per atom

a = 7.1062 Å, b = 8.7438 Å, c = 10.8677 Å
α = 90.00°, β = 90.00°, γ = 90.00°
Closest atoms and distances in Å follow each position.
Fractional positions:
1 Cl 0.7682 0.0178 0.0000  1 V 2.41
2 Cl 0.2557 0.3701 0.5000  1 V 2.38
3 Cl 0.2318 0.0178 0.0000  1 V 2.41
4 Cl 0.5000 0.1869 0.7216  1 V 2.41
5 K 0.5000 0.8407 0.1958  5 Cl 3.16-3.35
6 Cl 0.0000 0.8131 0.2216  1 V 2.41
7 V 0.5000 0.1837 0.5000  6 Cl 2.38-2.41
8 Cl 0.7318 0.9822 0.5000  1 V 2.41
9 Rb 0.0000 0.6753 0.5000  6 Cl 3.23-3.29
10 Cl 0.2443 0.6299 0.0000  1 V 2.38
11 K 0.0000 0.1593 0.6958  5 Cl 3.16-3.35
12 Cl 0.0000 0.8131 0.7784  1 V 2.41
13 K 0.0000 0.1593 0.3042  5 Cl 3.16-3.35
14 Cl 0.7443 0.3701 0.5000  1 V 2.38
15 Rb 0.5000 0.3247 0.0000  6 Cl 3.23-3.29
16 V 0.0000 0.8163 0.0000  6 Cl 2.38-2.41
17 Cl 0.5000 0.1869 0.2784  1 V 2.41
18 K 0.5000 0.8407 0.8042  5 Cl 3.16-3.35
19 Cl 0.2682 0.9822 0.5000  1 V 2.41
20 Cl 0.7557 0.6299 0.0000  1 V 2.38

A plane-wave DFT calculation with PBE-GGA was carried out for a relaxed Be3CoS crystal.

symmetry	No. 221
raw formation energy	0.775	eV per atom

a = 3.9849 Å, b = 3.9849 Å, c = 3.9849 Å
α = 90.00°, β = 90.00°, γ = 90.00°
Closest atoms and distances in Å follow each position.
Fractional positions:
1 Be 0.0000 0.0000 0.5000  2 Co 1.99
2 Be 0.0000 0.5000 0.0000  2 Co 1.99
3 S 0.5000 0.5000 0.5000  12 Be 2.82
4 Co 0.0000 0.0000 0.0000  6 Be 1.99
5 Be 0.5000 0.0000 0.0000  2 Co 1.99

A plane-wave DFT calculation with PBE-GGA was carried out for a relaxed VCu3Br crystal.

symmetry	No. 221
raw formation energy	1.285	eV per atom

a = 4.6550 Å, b = 4.6550 Å, c = 4.6550 Å
α = 90.00°, β = 90.00°, γ = 90.00°
Closest atoms and distances in Å follow each position.
Fractional positions:
1 Cu 0.0000 0.5000 0.0000  2 Br 2.33
2 Cu 0.5000 0.0000 0.0000  2 Br 2.33
3 Br 0.0000 0.0000 0.0000  6 Cu 2.33
4 Cu 0.0000 0.0000 0.5000  2 Br 2.33
5 V 0.5000 0.5000 0.5000  12 Cu 3.29

A plane-wave DFT calculation with PBE-GGA was carried out for a relaxed NdPIrN crystal.

symmetry	No. 129
raw formation energy	-1.062	eV per atom

a = 3.9209 Å, b = 3.9209 Å, c = 8.1556 Å
α = 90.00°, β = 90.00°, γ = 90.00°
Closest atoms and distances in Å follow each position.
Fractional positions:
1 P 0.0000 0.5000 0.3362  1 N 1.67
2 Nd 0.0000 0.5000 0.8354  1 N 2.41
3 N 0.0000 0.5000 0.1313  1 P 1.67
4 Ir 0.0000 0.0000 0.5000  4 P 2.37
5 P 0.5000 0.0000 0.6638  1 N 1.67
6 N 0.5000 0.0000 0.8687  1 P 1.67
7 Ir 0.5000 0.5000 0.5000  4 P 2.37
8 Nd 0.5000 0.0000 0.1646  1 N 2.41

A plane-wave DFT calculation with PBE-GGA was carried out for a relaxed GdTl5 crystal.

E_form	-0.097	eV per atom
symmetry	No. 65

a = 4.9350 Å, b = 4.6452 Å, c = 7.8575 Å
α = 107.19°, β = 90.00°, γ = 90.00°
Closest atoms and distances in Å follow each position.
Fractional positions:
1 Tl 0.5000 0.5000 0.0000  4 Gd 3.39, 8 Tl 3.41-3.53
2 Tl 0.0000 0.6680 0.3360  10 Tl 3.38-3.53, 2 Gd 3.43
3 Tl 0.0000 0.3320 0.6640  10 Tl 3.38-3.53, 2 Gd 3.43
4 Tl 0.5000 0.1660 0.3319  10 Tl 3.39-3.51, 2 Gd 3.51
5 Tl 0.5000 0.8340 0.6681  10 Tl 3.39-3.51, 2 Gd 3.51
6 Gd 0.0000 0.0000 0.0000  12 Tl 3.39-3.51

A plane-wave DFT calculation with PBE-GGA was carried out for a relaxed MgScNi crystal.

E_form	-0.080	eV per atom
symmetry	No. 156

a = 4.4419 Å, b = 4.4419 Å, c = 3.1390 Å
α = 90.00°, β = 90.00°, γ = 120.00°
Closest atoms and distances in Å follow each position.
Fractional positions:
1 Ni 0.6667 0.3333 0.2011  3 Mg 2.57
2 Sc 0.3333 0.6667 0.6556  6 Ni 2.93-3.08, 6 Mg 2.99-3.03, 2 Sc 3.14
3 Mg 0.0000 0.0000 0.1433  3 Ni 2.57

A plane-wave DFT calculation with PBE-GGA was carried out for a relaxed Nd3Sm3Hg2 crystal.

E_form	-0.168	eV per atom
symmetry	No. 63

a = 5.3058 Å, b = 6.5742 Å, c = 15.9730 Å
α = 90.00°, β = 90.00°, γ = 113.80°
Closest atoms and distances in Å follow each position.
Fractional positions:
1 Nd 0.0384 0.0768 0.6096  1 Hg 3.21, 2 Sm 3.49
2 Nd 0.9616 0.9232 0.3904  1 Hg 3.21, 2 Sm 3.49
3 Sm 0.6410 0.2820 0.4691  3 Hg 3.03-3.26
4 Hg 0.2266 0.4532 0.3697  4 Sm 3.03-3.26, 3 Nd 3.21-3.27
5 Nd 0.9616 0.9232 0.1096  1 Hg 3.21, 2 Sm 3.49
6 Sm 0.4348 0.8697 0.2500  2 Hg 3.15, 5 Nd 3.39-3.49
7 Nd 0.7162 0.4325 0.2500  4 Hg 3.27, 3 Sm 3.39-3.61
8 Sm 0.3590 0.7180 0.9691  3 Hg 3.03-3.26
9 Nd 0.0384 0.0768 0.8904  1 Hg 3.21, 2 Sm 3.49
10 Hg 0.2266 0.4532 0.1303  4 Sm 3.03-3.26, 3 Nd 3.21-3.27
11 Sm 0.6410 0.2820 0.0309  3 Hg 3.03-3.26
12 Sm 0.5652 0.1303 0.7500  2 Hg 3.15, 5 Nd 3.39-3.49
13 Hg 0.7734 0.5468 0.8697  4 Sm 3.03-3.26, 3 Nd 3.21-3.27
14 Nd 0.2838 0.5675 0.7500  4 Hg 3.27, 3 Sm 3.39-3.61
15 Sm 0.3590 0.7180 0.5309  3 Hg 3.03-3.26
16 Hg 0.7734 0.5468 0.6303  4 Sm 3.03-3.26, 3 Nd 3.21-3.27

A plane-wave DFT calculation with PBE-GGA was carried out for a relaxed PmErTh2Rh4 crystal.

E_form	-0.774	eV per atom
symmetry	No. 42

a = 5.7501 Å, b = 5.7501 Å, c = 6.9816 Å
α = 115.77°, β = 115.77°, γ = 86.80°
Closest atoms and distances in Å follow each position.
Fractional positions:
1 Pm 0.9348 0.9348 0.0000  6 Rh 2.86-3.04
2 Er 0.5088 0.5088 0.0000  6 Rh 2.72-2.96
3 Rh 0.1710 0.1710 0.5411  1 Er 2.72, 4 Th 2.85-2.92, 1 Pm 3.04
4 Th 0.6560 0.1560 0.5000  6 Rh 2.85-2.92
5 Rh 0.4207 0.0201 0.0000  2 Pm 2.86-2.97, 2 Th 2.87, 2 Er 2.88-2.96, 1 Rh 3.17
6 Rh 0.0201 0.4207 0.0000  2 Pm 2.86-2.97, 2 Th 2.87, 2 Er 2.88-2.96, 1 Rh 3.17
7 Th 0.1560 0.6560 0.5000  6 Rh 2.85-2.92
8 Rh 0.6299 0.6299 0.4589  1 Er 2.72, 4 Th 2.85-2.92, 1 Pm 3.04